(1)
Be2CuPCl GGA-PBE optimized geometry; E_form (uncorrected) = 1.050 eV per atom
1.0
4.177 0.000 0.000
0.000 4.177 0.000
0.000 0.000 4.330
Be Cu P Cl
2 1 1 1
Direct
0.000 0.500 0.000 Be
0.500 0.000 0.000 Be
0.000 0.000 0.500 Cu
0.500 0.500 0.500 P
0.000 0.000 0.000 Cl

---

(2)
MnNbGa GGA-PBE optimized geometry; energy of formation = -0.217 eV per atom
1.0
-2.478 2.535 3.496
2.478 -2.535 3.496
2.478 2.535 -3.496
Mn Nb Ga
2 2 2
Direct
0.500 0.000 0.000 Mn
0.500 0.500 0.500 Mn
0.127 0.377 0.750 Nb
0.873 0.623 0.250 Nb
0.000 0.000 0.000 Ga
0.500 0.000 0.500 Ga

---

(3)
Tb2CoNi3Ge4 GGA-PBE optimized geometry; energy of formation = -0.670 eV per atom
1.0
4.069 0.000 0.000
0.000 4.069 0.000
0.000 0.000 9.742
Tb Co Ni Ge
2 1 3 4
Direct
0.000 0.500 0.249 Tb
0.500 0.000 0.751 Tb
0.500 0.500 0.000 Co
0.000 0.000 0.000 Ni
0.000 0.500 0.629 Ni
0.500 0.000 0.371 Ni
0.000 0.000 0.500 Ge
0.000 0.500 0.871 Ge
0.500 0.000 0.129 Ge
0.500 0.500 0.500 Ge

---

Short version: V = 15.11 14.64 16.13 Å³/atom, in the order given.
Short version: density of states at the Fermi level = 1.845 6.968 4.934 states/eV per cell, in the order given.